[1]
# ZrAlIn

A relaxed ZrAlIn crystal (GGA-PBE, the Alexandria database).

Cell lengths 7.458, 5.934, 5.780 Å; angles 90.00, 90.00, 90.00 degrees
Atoms (fractional coordinates):
Zr: 0.184 0.250 0.140
Zr: 0.316 0.750 0.640
Zr: 0.684 0.250 0.360
Zr: 0.816 0.750 0.860
Al: 0.000 0.000 0.500
Al: 0.000 0.500 0.500
Al: 0.500 0.000 0.000
Al: 0.500 0.500 0.000
In: 0.173 0.750 0.129
In: 0.327 0.250 0.629
In: 0.673 0.750 0.371
In: 0.827 0.250 0.871

energy of formation from the pure elements = -0.225 eV per atom
theoretical density = 6.05 Mg/m³

[2]
# Zr2AlIn

A relaxed Zr2AlIn crystal (GGA-PBE, the Alexandria database).

Cell lengths 3.151, 5.040, 5.282 Å; angles 90.00, 93.22, 90.00 degrees
Atoms (fractional coordinates):
Zr: 0.000 0.000 0.000
Zr: 0.114 0.500 0.646
Al: 0.566 0.500 0.139
In: 0.548 0.000 0.493

energy of formation from the pure elements = -0.269 eV per atom
theoretical density = 6.43 Mg/m³

[3]
# Zr2AlIn

A relaxed Zr2AlIn crystal (GGA-PBE, the Alexandria database).

Cell lengths 3.785, 3.785, 6.119 Å; angles 90.00, 90.00, 90.00 degrees
Atoms (fractional coordinates):
Zr: 0.000 0.000 0.000
Zr: 0.500 0.500 0.235
Al: 0.000 0.000 0.474
In: 0.500 0.500 0.730

energy of formation from the pure elements = -0.100 eV per atom
theoretical density = 6.14 Mg/m³

[4]
# Zr4Al2In5

A relaxed Zr4Al2In5 crystal (GGA-PBE, the Alexandria database).

Cell lengths 7.621, 3.201, 9.709 Å; angles 90.00, 94.34, 90.00 degrees
Atoms (fractional coordinates):
Zr: 0.172 0.000 0.376
Zr: 0.262 0.000 0.943
Zr: 0.738 0.000 0.057
Zr: 0.828 0.000 0.624
Al: 0.061 0.500 0.131
Al: 0.939 0.500 0.869
In: 0.180 0.500 0.659
In: 0.439 0.500 0.192
In: 0.500 0.500 0.500
In: 0.561 0.500 0.808
In: 0.820 0.500 0.341

energy of formation from the pure elements = -0.318 eV per atom
theoretical density = 6.98 Mg/m³

[5]
# Zr2AlIn

A relaxed Zr2AlIn crystal (GGA-PBE, the Alexandria database).

Cell lengths 6.165, 8.675, 3.115 Å; angles 90.00, 90.00, 90.00 degrees
Atoms (fractional coordinates):
Zr: 0.250 0.250 0.000
Zr: 0.250 0.750 0.000
Zr: 0.750 0.250 0.000
Zr: 0.750 0.750 0.000
Al: 0.000 0.000 0.500
Al: 0.500 0.500 0.500
In: 0.000 0.500 0.500
In: 0.500 0.000 0.500

energy of formation from the pure elements = -0.354 eV per atom
theoretical density = 6.46 Mg/m³

[6]
# Zr2AlIn

A relaxed Zr2AlIn crystal (GGA-PBE, the Alexandria database).

Cell lengths 4.384, 4.384, 4.329 Å; angles 90.00, 90.00, 90.00 degrees
Atoms (fractional coordinates):
Zr: 0.000 0.500 0.000
Zr: 0.500 0.000 0.000
Al: 0.000 0.000 0.500
In: 0.500 0.500 0.500

energy of formation from the pure elements = -0.362 eV per atom
theoretical density = 6.47 Mg/m³

[7]
# ZrAlIn2

A relaxed ZrAlIn2 crystal (GGA-PBE, the Alexandria database).

Cell lengths 3.839, 3.839, 6.029 Å; angles 90.00, 90.00, 90.00 degrees
Atoms (fractional coordinates):
Zr: 0.000 0.000 0.000
Al: 0.500 0.500 0.219
In: 0.000 0.000 0.486
In: 0.500 0.500 0.749

energy of formation from the pure elements = -0.079 eV per atom
theoretical density = 6.50 Mg/m³

[8]
# Zr8Al2In

A relaxed Zr8Al2In crystal (GGA-PBE, the Alexandria database).

Cell lengths 7.790, 7.790, 5.149 Å; angles 102.78, 102.78, 118.65 degrees
Atoms (fractional coordinates):
Zr: 0.086 0.323 0.637
Zr: 0.223 0.777 0.000
Zr: 0.323 0.086 0.637
Zr: 0.414 0.414 0.209
Zr: 0.586 0.586 0.791
Zr: 0.677 0.914 0.363
Zr: 0.777 0.223 0.000
Zr: 0.914 0.677 0.363
Al: 0.306 0.694 0.500
Al: 0.694 0.306 0.500
In: 0.000 0.000 0.000

energy of formation from the pure elements = -0.092 eV per atom
theoretical density = 6.04 Mg/m³

Q: Which of these has the lowest energy of formation from the pure elements?
A: number 6